## CsFeCu3 (PBE-GGA)

Data for a relaxed structure of CsFeCu3.

Cell: 5.3123 5.3123 5.3123 Å, 90.00 90.00 90.00°
With the nearest neighbours (Å) after each atom.
Fractional positions:
Cs (0.0000, 0.0000, 0.0000)  6 Cu 2.66
Fe (0.5000, 0.5000, 0.5000)  12 Cu 3.76
Cu (0.0000, 0.5000, 0.0000)  2 Cs 2.66
Cu (0.0000, 0.0000, 0.5000)  2 Cs 2.66
Cu (0.5000, 0.0000, 0.0000)  2 Cs 2.66

Output
Final energy: -2.03 eV per atom
Polymorph energy (0 for the lowest one): 139.8 kJ/mol of atoms
Crystal system: cubic

***

## PrTmGe (PBE-GGA)

Data for a relaxed structure of PrTmGe.

Cell: 4.9650 4.9650 4.9650 Å, 60.00 60.00 60.00°
With the nearest neighbours (Å) after each atom.
Fractional positions:
Pr (0.5000, 0.5000, 0.5000)  4 Ge 3.04
Ge (0.2500, 0.2500, 0.2500)  4 Pr 3.04, 4 Tm 3.04
Tm (0.0000, 0.0000, 0.0000)  4 Ge 3.04

Output
Final energy: -5.12 eV per atom
Crystal system: cubic

***

## SmHo2Hg3 (PBE-GGA)

Data for a relaxed structure of SmHo2Hg3.

Cell: 3.7310 3.7310 11.2461 Å, 90.00 90.00 90.00°
With the nearest neighbours (Å) after each atom.
Fractional positions:
Sm (0.5000, 0.5000, 0.5000)  8 Hg 3.30
Ho (0.5000, 0.5000, 0.8360)  8 Hg 3.19-3.22
Ho (0.5000, 0.5000, 0.1640)  8 Hg 3.19-3.22
Hg (0.0000, 0.0000, 0.0000)  8 Ho 3.22
Hg (0.0000, 0.0000, 0.6763)  4 Ho 3.19, 4 Sm 3.30
Hg (0.0000, 0.0000, 0.3237)  4 Ho 3.19, 4 Sm 3.30

Output
Final energy: -2.94 eV per atom
Crystal system: tetragonal

***

## CsTeSe2N (PBE-GGA)

Data for a relaxed structure of CsTeSe2N.

Cell: 6.0480 6.0480 4.4339 Å, 90.00 90.00 90.00°
With the nearest neighbours (Å) after each atom.
Fractional positions:
Cs (0.0000, 0.0000, 0.0000)  2 N 2.22
Te (0.5000, 0.5000, 0.5000)  8 Se 3.75
Se (0.0000, 0.5000, 0.0000)  2 Cs 3.02
Se (0.5000, 0.0000, 0.0000)  2 Cs 3.02
N (0.0000, 0.0000, 0.5000)  2 Cs 2.22

Output
Final energy: -2.11 eV per atom
Energy relative to the elements, uncorrected: 8.8 eV per formula unit
Polymorph energy (0 for the lowest one): 131.7 kJ/mol of atoms
Crystal system: tetragonal